Here is a relaxed structure of SrNiO from Alexandria. Energies are from GGA+U.

Cell lengths 3.703, 3.703, 7.450 Å; angles 90.00, 90.00, 120.00 degrees
Atoms (fractional coordinates):
Ni 0.333 0.667 0.750
Sr 0.000 0.000 0.500
Ni 0.667 0.333 0.250
Sr 0.000 0.000 0.000
O 0.667 0.333 0.750
O 0.333 0.667 0.250

## Properties
Mass density (g cm⁻³): 6.09
Uncorrected energy (eV per cell): -21.4
Space-group type: No. 194